TePd12 | PBE | optimized geometry

abc: 11.3062 2.8129 25.4692
angles: 90.00 90.14 90.00
Closest atoms and distances in Å follow each position.
Sites, in units of the cell vectors:
Te (0.0702, 0.2500, 0.2336)  5 Pd 2.68-2.76, 2 Te 2.81
Te (0.9298, 0.7500, 0.7664)  5 Pd 2.68-2.76, 2 Te 2.81
Pd (0.0139, 0.2500, 0.0474)  12 Pd 2.75-2.81
Pd (0.0431, 0.7500, 0.1415)  10 Pd 2.73-2.83, 2 Te 2.75
Pd (0.1362, 0.2500, 0.7827)  7 Pd 2.75-2.86, 2 Te 2.76
Pd (0.1654, 0.7500, 0.8796)  12 Pd 2.75-2.86
Pd (0.1918, 0.2500, 0.9738)  12 Pd 2.75-2.81
Pd (0.2199, 0.7500, 0.0684)  12 Pd 2.73-2.89
Pd (0.2527, 0.2500, 0.1666)  1 Te 2.68, 9 Pd 2.73-2.89
Pd (0.3395, 0.7500, 0.8040)  9 Pd 2.73-2.82
Pd (0.3706, 0.2500, 0.8988)  12 Pd 2.74-2.82
Pd (0.3973, 0.7500, 0.9928)  12 Pd 2.74-2.87
Pd (0.4237, 0.2500, 0.0868)  12 Pd 2.74-2.87
Pd (0.4568, 0.7500, 0.1806)  9 Pd 2.73-2.81
Pd (0.5432, 0.2500, 0.8194)  9 Pd 2.73-2.81
Pd (0.5763, 0.7500, 0.9132)  12 Pd 2.74-2.87
Pd (0.6027, 0.2500, 0.0072)  12 Pd 2.74-2.87
Pd (0.6294, 0.7500, 0.1012)  12 Pd 2.74-2.82
Pd (0.6605, 0.2500, 0.1960)  9 Pd 2.73-2.82
Pd (0.7473, 0.7500, 0.8334)  1 Te 2.68, 9 Pd 2.73-2.89
Pd (0.7801, 0.2500, 0.9316)  12 Pd 2.73-2.89
Pd (0.8082, 0.7500, 0.0262)  12 Pd 2.75-2.81
Pd (0.8346, 0.2500, 0.1204)  12 Pd 2.75-2.86
Pd (0.8638, 0.7500, 0.2173)  7 Pd 2.75-2.86, 2 Te 2.76
Pd (0.9569, 0.2500, 0.8585)  10 Pd 2.73-2.83, 2 Te 2.75
Pd (0.9861, 0.7500, 0.9526)  12 Pd 2.75-2.81

Calculated values
- calculated total energy (eV per atom) = -4.922
- volume (A^3/atom) = 31.2